1.
Entry from Alexandria via LeMat-Bulk: crystalline ZnCdIrI2 at its relaxed geometry (PBE).

Crystal system = tetragonal
N(E_F) = 5.84 states/eV/f.u.
Formation energy (no corrections) = 1.076 eV/atom
Space group = P4/mmm, No. 123
Total magnetic moment = 2.82 Bohr magnetons per cell

Unit cell a=5.8928 b=5.3166 c=5.8928 alpha=90.00 beta=90.00 gamma=90.00
Last column: nearest neighbours and their distance in Å.
Atoms (fractional coordinates):
I  0.5000  0.0000  0.0000  2 Cd 2.95
I  0.0000  0.0000  0.5000  2 Cd 2.95
Zn  0.5000  0.5000  0.5000  8 I 3.97, 4 Ir 4.17
Cd  0.0000  0.0000  0.0000  2 Ir 2.66, 4 I 2.95
Ir  0.0000  0.5000  0.0000  2 Cd 2.66



2.
Entry from Alexandria via LeMat-Bulk: crystalline Tm12Hg3H5 at its relaxed geometry (PBE).

Crystal system = cubic
N(E_F) = 16.37 states/eV/f.u.
Space group = Ia-3d, No. 230
DFT total energy = -3.8264 eV/atom
Total magnetic moment = 0.00 Bohr magnetons per cell

Unit cell a=13.2090 b=13.2090 c=13.2090 alpha=109.47 beta=109.47 gamma=109.47
Last column: nearest neighbours and their distance in Å.
Atoms (fractional coordinates):
Hg  0.2500  0.6250  0.8750  8 Tm 3.08
Hg  0.7500  0.8750  0.6250  8 Tm 3.08
Hg  0.7500  0.3750  0.1250  8 Tm 3.08
Hg  0.2500  0.1250  0.3750  8 Tm 3.08
Hg  0.3750  0.7500  0.6250  8 Tm 3.08
Hg  0.8750  0.1250  0.2500  8 Tm 3.08
Hg  0.1250  0.2500  0.8750  8 Tm 3.08
Hg  0.3750  0.6250  0.2500  8 Tm 3.08
Hg  0.1250  0.8750  0.7500  8 Tm 3.08
Hg  0.6250  0.2500  0.3750  8 Tm 3.08
Hg  0.8750  0.7500  0.1250  8 Tm 3.08
Hg  0.6250  0.3750  0.7500  8 Tm 3.08
Tm  0.2055  0.5123  0.6087  1 H 2.14
Tm  0.0123  0.6087  0.7055  1 H 2.14
Tm  0.1087  0.4032  0.0964  1 H 2.14
Tm  0.8913  0.2945  0.4877  1 H 2.14
Tm  0.2945  0.8913  0.9877  1 H 2.14
Tm  0.3913  0.4036  0.0968  1 H 2.14
Tm  0.1932  0.0964  0.9877  1 H 2.14
Tm  0.6932  0.2055  0.5968  1 H 2.14
Tm  0.5964  0.6087  0.4032  1 H 2.14
Tm  0.8068  0.9036  0.0123  1 H 2.14
Tm  0.7055  0.1087  0.0123  1 H 2.14
Tm  0.3068  0.7945  0.4032  1 H 2.14
Tm  0.5964  0.9877  0.6932  1 H 2.14
Tm  0.1087  0.7055  0.5123  1 H 2.14
Tm  0.4032  0.2945  0.3068  1 H 2.14
Tm  0.6932  0.4877  0.5964  1 H 2.14
Tm  0.2055  0.6932  0.0968  1 H 2.14
Tm  0.4036  0.3913  0.5968  1 H 2.14
Tm  0.4032  0.1087  0.5964  1 H 2.14
Tm  0.8068  0.9032  0.2945  1 H 2.14
Tm  0.8913  0.5968  0.9036  1 H 2.14
Tm  0.5968  0.8913  0.4036  1 H 2.14
Tm  0.4877  0.6932  0.0964  1 H 2.14
Tm  0.6087  0.0123  0.2055  1 H 2.14
Tm  0.3913  0.9877  0.7945  1 H 2.14
Tm  0.0123  0.4036  0.8068  1 H 2.14
Tm  0.7055  0.5968  0.1932  1 H 2.14
Tm  0.5968  0.7055  0.6932  1 H 2.14
Tm  0.3068  0.5123  0.4036  1 H 2.14
Tm  0.7945  0.4877  0.3913  1 H 2.14
Tm  0.0964  0.9032  0.1087  1 H 2.14
Tm  0.9877  0.3913  0.2945  1 H 2.14
Tm  0.4877  0.7945  0.8913  1 H 2.14
Tm  0.9032  0.8068  0.7945  1 H 2.14
Tm  0.7945  0.3068  0.9032  1 H 2.14
Tm  0.0964  0.1932  0.4877  1 H 2.14
Tm  0.5123  0.3068  0.9036  1 H 2.14
Tm  0.1932  0.0968  0.7055  1 H 2.14
Tm  0.9036  0.0968  0.8913  1 H 2.14
Tm  0.9032  0.0964  0.6087  1 H 2.14
Tm  0.2945  0.4032  0.8068  1 H 2.14
Tm  0.9877  0.5964  0.1932  1 H 2.14
Tm  0.4036  0.0123  0.3068  1 H 2.14
Tm  0.5123  0.2055  0.1087  1 H 2.14
Tm  0.0968  0.9036  0.3913  1 H 2.14
Tm  0.0968  0.1932  0.2055  1 H 2.14
Tm  0.9036  0.8068  0.5123  1 H 2.14
Tm  0.6087  0.5964  0.9032  1 H 2.14
H  0.0000  0.0000  0.0000  6 Tm 2.53
H  0.8750  0.6250  0.7500  4 Tm 2.14
H  0.2500  0.3750  0.6250  4 Tm 2.14
H  0.2500  0.8750  0.1250  4 Tm 2.14
H  0.3750  0.2500  0.1250  4 Tm 2.14
H  0.1250  0.3750  0.2500  4 Tm 2.14
H  0.0000  0.5000  0.5000  6 Tm 2.53
H  0.7500  0.6250  0.3750  4 Tm 2.14
H  0.5000  0.0000  0.0000  6 Tm 2.53
H  0.5000  0.0000  0.5000  6 Tm 2.53
H  0.8750  0.2500  0.6250  4 Tm 2.14
H  0.5000  0.5000  0.5000  6 Tm 2.53
H  0.3750  0.1250  0.7500  4 Tm 2.14
H  0.5000  0.5000  0.0000  6 Tm 2.53
H  0.0000  0.5000  0.0000  6 Tm 2.53
H  0.6250  0.8750  0.2500  4 Tm 2.14
H  0.7500  0.1250  0.8750  4 Tm 2.14
H  0.1250  0.7500  0.3750  4 Tm 2.14
H  0.0000  0.0000  0.5000  6 Tm 2.53
H  0.6250  0.7500  0.8750  4 Tm 2.14



3.
Entry from Alexandria via LeMat-Bulk: crystalline Li3Cu7Ge2 at its relaxed geometry (PBE).

Crystal system = orthorhombic
N(E_F) = 3.51 states/eV/f.u.
Space group = Cmmm, No. 65
Energy of formation = -0.048 eV per atom
Total magnetic moment = 0.00 Bohr magnetons per cell

Unit cell a=4.3248 b=4.2113 c=9.4757 alpha=102.84 beta=90.00 gamma=90.00
Last column: nearest neighbours and their distance in Å.
Atoms (fractional coordinates):
Cu  0.0000  0.0000  0.0000  8 Cu 2.52-2.56, 2 Ge 2.71
Cu  0.5000  0.9262  0.8525  4 Li 2.51-2.65, 2 Ge 2.55, 3 Cu 2.56-2.73
Cu  0.0000  0.5746  0.1492  2 Ge 2.49, 4 Cu 2.52-2.76, 4 Li 2.56-2.69
Cu  0.0000  0.2814  0.5627  3 Cu 2.40-2.66, 2 Li 2.41, 3 Ge 2.48-2.49
Cu  0.0000  0.7186  0.4373  3 Cu 2.40-2.66, 2 Li 2.41, 3 Ge 2.48-2.49
Cu  0.0000  0.4254  0.8508  2 Ge 2.49, 4 Cu 2.52-2.76, 4 Li 2.56-2.69
Cu  0.5000  0.0738  0.1475  4 Li 2.51-2.65, 2 Ge 2.55, 3 Cu 2.56-2.73
Ge  0.0000  0.1469  0.2939  8 Cu 2.48-2.71
Ge  0.0000  0.8531  0.7061  8 Cu 2.48-2.71
Li  0.5000  0.3391  0.6782  6 Cu 2.41-2.69
Li  0.5000  0.5000  0.0000  8 Cu 2.51-2.56
Li  0.5000  0.6609  0.3218  6 Cu 2.41-2.69